# 1
## CaHO2 (PBE)

Data for a relaxed structure of CaHO2.

Lattice parameters (Å, degrees): 5.4959 5.4959 5.4959 90.00 90.00 90.00
Space group Fm-3m (No. 225)
Unique sites:
Ca1 0.0000 0.0000 0.0000 (multiplicity 4)
H1 0.0000 0.0000 0.5000 (multiplicity 4)
O1 0.2500 0.2500 0.2500 (multiplicity 8)

Properties
**Uncorrected energy**: -4.47 eV/atom

---

# 2
## SrY3Ru (PBE)

Data for a relaxed structure of SrY3Ru.

Lattice parameters (Å, degrees): 9.8502 6.5544 10.7268 90.00 116.33 90.00
Space group P2_1/c (No. 14)
Unique sites:
Sr1 0.1640 0.0793 0.1298 (multiplicity 4)
Y1 0.1484 0.5946 0.2644 (multiplicity 4)
Y2 0.2802 0.0347 0.4923 (multiplicity 4)
Y3 0.4980 0.6310 0.6383 (multiplicity 4)
Ru1 0.4202 0.6898 0.8664 (multiplicity 4)

Properties
**Energy of formation**: 0.5 kJ per mole of atoms

---

# 3
## ScSiMo2 (PBE)

Data for a relaxed structure of ScSiMo2.

Lattice parameters (Å, degrees): 9.5141 3.2916 4.4280 90.00 109.69 90.00
Space group C2/m (No. 12)
Unique sites:
Sc1 0.0000 0.0000 0.0000 (multiplicity 2)
Si1 0.0000 0.5000 0.5000 (multiplicity 2)
Mo1 0.2444 0.0000 0.7252 (multiplicity 4)

Properties
**E_form (uncorrected)**: -0.0995 eV/atom

---

# 4
## RbLiCrFe2 (PBE)

Data for a relaxed structure of RbLiCrFe2.

Lattice parameters (Å, degrees): 4.5696 4.5696 5.0973 90.00 90.00 90.00
Space group P4/mmm (No. 123)
Unique sites:
Rb1 0.0000 0.0000 0.0000 (multiplicity 1)
Li1 0.5000 0.5000 0.5000 (multiplicity 1)
Cr1 0.0000 0.0000 0.5000 (multiplicity 1)
Fe1 0.0000 0.5000 0.0000 (multiplicity 2)

Properties
**Energy of formation**: 260.4 kJ per mole of atoms

---

# 5
## Ag2PdAu8 (PBE)

Data for a relaxed structure of Ag2PdAu8.

Lattice parameters (Å, degrees): 14.9549 4.0946 6.6035 90.00 105.46 90.00
Space group C2/m (No. 12)
Unique sites:
Ag1 0.2268 0.0000 0.1364 (multiplicity 4)
Pd1 0.0000 0.5000 0.5000 (multiplicity 2)
Au1 0.0448 0.0000 0.2302 (multiplicity 4)
Au2 0.0907 0.5000 0.9505 (multiplicity 4)
Au3 0.1356 0.0000 0.6802 (multiplicity 4)
Au4 0.1805 0.5000 0.4086 (multiplicity 4)

Properties
**Energy of formation**: -4.8 kJ per mole of atoms

---

# 6
## BaFeHg3 (PBE)

Data for a relaxed structure of BaFeHg3.

Lattice parameters (Å, degrees): 5.1501 5.1501 5.1501 90.00 90.00 90.00
Space group Pm-3m (No. 221)
Unique sites:
Ba1 0.0000 0.0000 0.0000 (multiplicity 1)
Fe1 0.5000 0.5000 0.5000 (multiplicity 1)
Hg1 0.0000 0.5000 0.5000 (multiplicity 3)

Properties
**Energy of formation**: -0.2 kJ per mole of atoms